This record from Alexandria describes an optimized crystal structure of LiTiRh3. The functional is PBE.

Summary:
* space-group type: P6_3/mmc
* size of the total moment: 0.00 μB per atom
* V: 140 Å³ per cell
* offset from the most stable computed form: 0.0 meV/atom

Cell: 4.2116 6.1851 6.1851 Å, 119.98 90.00 90.00°
With the nearest neighbours (Å) after each atom.
Sites, in units of the cell vectors:
Li 0.0000 0.0000 0.0000  2 Li 2.11, 6 Rh 2.29
Li 0.5000 0.0000 0.0000  2 Li 2.11, 6 Rh 2.29
Ti 0.2500 0.3334 0.6666  6 Rh 2.61
Ti 0.7500 0.6666 0.3334  6 Rh 2.61
Rh 0.2500 0.8100 0.1900  2 Li 2.29
Rh 0.7500 0.1900 0.8100  2 Li 2.29
Rh 0.2500 0.8099 0.6200  2 Li 2.29
Rh 0.7500 0.1901 0.3800  2 Li 2.29
Rh 0.2500 0.3800 0.1901  2 Li 2.29
Rh 0.7500 0.6200 0.8099  2 Li 2.29